No. 1
Below is a geometry-optimized AcAlCuPt3 structure, with properties calculated at the PBE-GGA level.

a b c (Å): 6.964 6.964 5.888
angles (deg): 90.00 90.00 120.46
Fractional positions:
Ac: 0.225 0.775 0.750
Ac: 0.775 0.225 0.250
Al: 0.114 0.886 0.250
Al: 0.886 0.114 0.750
Cu: 0.479 0.521 0.750
Cu: 0.521 0.479 0.250
Pt: 0.209 0.209 0.000
Pt: 0.209 0.209 0.500
Pt: 0.312 0.688 0.250
Pt: 0.688 0.312 0.750
Pt: 0.791 0.791 0.000
Pt: 0.791 0.791 0.500

Properties
Energy relative to the elements ... -0.6687 eV per atom
DOS at the Fermi energy ... 6.38 states/eV per cell
Theoretical density ... 12.2 g/cm³
M_tot ... 0.0 μB per formula unit

No. 2
Below is a geometry-optimized BaAl2Si structure, with properties calculated at the PBE-GGA level.

a b c (Å): 5.580 5.580 5.580
angles (deg): 130.45 130.45 72.68
Fractional positions:
Ba: 0.000 0.000 0.000
Al: 0.250 0.750 0.500
Al: 0.750 0.250 0.500
Si: 0.500 0.500 0.000

Properties
DOS at the Fermi energy ... 1.87 states/eV per cell
E_form (uncorrected) ... 0.279 eV per atom
Theoretical density ... 3.7 g/cm³
M_tot ... 0.0 μB per formula unit

No. 3
Below is a geometry-optimized TeSe2I structure, with properties calculated at the PBE-GGA level.

a b c (Å): 6.813 6.813 6.768
angles (deg): 90.00 90.00 93.31
Fractional positions:
Te: 0.220 0.220 0.000
Te: 0.780 0.780 0.500
Se: 0.271 0.489 0.293
Se: 0.489 0.271 0.707
Se: 0.511 0.729 0.207
Se: 0.729 0.511 0.793
I: 0.166 0.834 0.750
I: 0.834 0.166 0.250

Properties
DOS at the Fermi energy ... 3.42 states/eV per cell
E_form (uncorrected) ... 0.080 eV per atom
Theoretical density ... 4.4 g/cm³
Polymorph energy (0 for the lowest one) ... 0 meV/atom
M_tot ... 0.0 μB per formula unit

No. 4
Below is a geometry-optimized SrLiBr structure, with properties calculated at the PBE-GGA level.

a b c (Å): 5.511 5.511 5.511
angles (deg): 60.00 60.00 60.00
Fractional positions:
Sr: 0.000 0.000 0.000
Li: 0.750 0.750 0.750
Br: 0.250 0.250 0.250

Properties
DOS at the Fermi energy ... 0.29 states/eV per cell
E_form (uncorrected) ... -0.490 eV per atom
Theoretical density ... 2.4 g/cm³
Polymorph energy (0 for the lowest one) ... 456 meV/atom
M_tot ... 0.0 μB per formula unit

No. 5
Below is a geometry-optimized Y3TeP2Rh9 structure, with properties calculated at the PBE-GGA level.

a b c (Å): 6.062 6.062 9.232
angles (deg): 90.00 90.00 120.00
Fractional positions:
Y: 0.000 0.000 0.000
Y: 0.333 0.667 0.728
Y: 0.667 0.333 0.272
Te: 0.000 0.000 0.500
P: 0.333 0.667 0.160
P: 0.667 0.333 0.840
Rh: 0.000 0.500 0.000
Rh: 0.152 0.303 0.274
Rh: 0.152 0.848 0.274
Rh: 0.303 0.152 0.726
Rh: 0.500 0.000 0.000
Rh: 0.500 0.500 0.000
Rh: 0.697 0.848 0.274
Rh: 0.848 0.152 0.726
Rh: 0.848 0.697 0.726

Properties
DOS at the Fermi energy ... 7.68 states/eV per cell
E_form (uncorrected) ... -0.657 eV per atom
Theoretical density ... 7.8 g/cm³
M_tot ... 0.0 μB per formula unit

No. 6
Below is a geometry-optimized NbGeMo2H structure, with properties calculated at the PBE-GGA level.

a b c (Å): 4.900 4.900 3.323
angles (deg): 90.00 90.00 90.00
Fractional positions:
Nb: 0.000 0.000 0.000
Ge: 0.500 0.500 0.500
Mo: 0.000 0.500 0.000
Mo: 0.500 0.000 0.000
H: 0.000 0.000 0.500

Properties
DOS at the Fermi energy ... 4.50 states/eV per cell
Theoretical density ... 7.5 g/cm³
Total energy ... -34.66 eV per cell
M_tot ... 0.0 μB per formula unit

No. 7
Below is a geometry-optimized SrPm3Rh structure, with properties calculated at the PBE-GGA level.

a b c (Å): 4.050 9.469 9.301
angles (deg): 90.00 90.00 90.00
Fractional positions:
Sr: 0.250 0.250 0.029
Sr: 0.750 0.750 0.971
Pm: 0.250 0.558 0.656
Pm: 0.250 0.750 0.329
Pm: 0.250 0.942 0.656
Pm: 0.750 0.058 0.344
Pm: 0.750 0.250 0.671
Pm: 0.750 0.442 0.344
Rh: 0.250 0.250 0.456
Rh: 0.750 0.750 0.544

Properties
Energy relative to the elements ... -0.2236 eV per atom
DOS at the Fermi energy ... 12.53 states/eV per cell
Theoretical density ... 5.8 g/cm³
Polymorph energy (0 for the lowest one) ... 0 meV/atom
M_tot ... 0.0 μB per formula unit